Material: LaDyHo14
Method: DFT, PBE-GGA
State: relaxed

Fermi-level density of states in states/eV/cell: 39.95
ΔE_f in eV per atom: 0.01
Calculated volume in Å³/f.u.: 502.3
Mass density in g cm⁻³: 8.63

Structure (CIF):
```
data_LaDyHo14
_cell_length_a 11.453
_cell_length_b 7.118
_cell_length_c 12.323
_cell_angle_alpha 90.00
_cell_angle_beta 90.00
_cell_angle_gamma 90.00
_symmetry_space_group_name_H-M 'A m m 2'
_symmetry_Int_Tables_number 38
_symmetry_space_group_name_Hall 'A 2 -2'
loop_
_atom_site_label
_atom_site_type_symbol
_atom_site_fract_x
_atom_site_fract_y
_atom_site_fract_z
La1 La 0.000 0.000 0.000
Dy1 Dy 0.000 0.000 0.500
Ho1 Ho 0.000 0.250 0.250
Ho2 Ho 0.250 0.000 0.667
Ho3 Ho 0.253 0.000 0.167
Ho4 Ho 0.253 0.249 0.417
Ho5 Ho 0.500 0.000 0.333
Ho6 Ho 0.500 0.000 0.833
Ho7 Ho 0.500 0.249 0.584
```